Density functional theory data (PBE-GGA) for KThCd after structural relaxation.

Summary:
Calculated total energy   -5.8 eV for the cell shown
Space group   F-43m, No. 216

```
3
Lattice="0.000 3.684 3.684 3.684 0.000 3.684 3.684 3.684 0.000" Properties=species:S:1:pos:R:3 pbc="T T T"
K 0.000 0.000 0.000
Th 1.842 1.842 1.842
Cd 5.525 5.525 5.525
```